Below is Sr3CeSe4 after structural relaxation, with properties calculated at the PBE level.

Cell lengths 8.814, 12.442, 4.377 Å; angles 90.00, 90.00, 90.00 degrees
Space group Cmmm (No. 65)
Symmetry-distinct sites (fractional):
1 Sr 0.000 0.000 0.000 [2 per cell]
2 Sr 0.250 0.250 0.500 [4 per cell]
3 Ce 0.000 0.500 0.000 [2 per cell]
4 Se 0.000 0.255 0.000 [4 per cell]
5 Se 0.243 0.500 0.500 [4 per cell]

Summary:
Total DFT energy (no corrections), eV per formula unit: -40.50
Total moment, μB per cell: 2.88
E_form (uncorrected), meV/atom: -1948